1.
# PBE Nd8YEr6, optimized geometry
data_Nd8YEr6
_chemical_formula_sum 'Nd8 Y1 Er6'
_cell_length_a 9.4273
_cell_length_b 9.4273
_cell_length_c 6.5632
_cell_angle_alpha 90.00
_cell_angle_beta 90.00
_cell_angle_gamma 120.00
_space_group_name_H-M_alt 'P -3'
_space_group_IT_number 147
_space_group_name_Hall '-P 3'
loop_
_atom_site_label
_atom_site_fract_x
_atom_site_fract_y
_atom_site_fract_z
Nd1 0.0376 0.2893 0.3345
Nd2 0.3333 0.6667 0.3802
Y1 0.0000 0.0000 0.0000
Er1 0.0952 0.4373 0.8440
# - Crystal system: trigonal
# - Formation energy from the elements: 0.175 eV per atom
# - Relative energy among the computed polymorphs: 46 meV per atom
# - DOS(E_F): 22.37 states/eV/f.u.

***

2.
# PBE Tb5HoAl2, optimized geometry
data_Tb5HoAl2
_chemical_formula_sum 'Tb10 Ho2 Al4'
_cell_length_a 3.542
_cell_length_b 10.334
_cell_length_c 12.332
_cell_angle_alpha 90.00
_cell_angle_beta 90.00
_cell_angle_gamma 90.00
_space_group_name_H-M_alt 'I m m m'
_space_group_IT_number 71
_space_group_name_Hall '-I 2 2'
loop_
_atom_site_label
_atom_site_fract_x
_atom_site_fract_y
_atom_site_fract_z
Tb1 0.000 0.000 0.000
Tb2 0.000 0.276 0.362
Ho1 0.000 0.500 0.000
Al1 0.000 0.000 0.266
# - Crystal system: orthorhombic
# - Formation energy from the elements: -0.079 eV per atom
# - DOS(E_F): 11.73 states/eV/f.u.

***

3.
# PBE Ni4AgIr, optimized geometry
data_Ni4AgIr
_chemical_formula_sum 'Ni16 Ag4 Ir4'
_cell_length_a 6.718
_cell_length_b 6.718
_cell_length_c 6.718
_cell_angle_alpha 90.00
_cell_angle_beta 90.00
_cell_angle_gamma 90.00
_space_group_name_H-M_alt 'F -4 3 m'
_space_group_IT_number 216
_space_group_name_Hall 'F -4 2 3'
loop_
_atom_site_label
_atom_site_fract_x
_atom_site_fract_y
_atom_site_fract_z
Ni1 0.125 0.125 0.125
Ag1 0.250 0.250 0.750
Ir1 0.000 0.000 0.500
# - Crystal system: cubic
# - Formation energy from the elements: 0.220 eV per atom
# - DOS(E_F): 8.76 states/eV/f.u.

***

4.
# PBE PtClF2, optimized geometry
data_PtClF2
_chemical_formula_sum 'Pt4 Cl4 F8'
_cell_length_a 5.993
_cell_length_b 4.976
_cell_length_c 9.808
_cell_angle_alpha 90.00
_cell_angle_beta 90.00
_cell_angle_gamma 90.00
_space_group_name_H-M_alt 'P n n a'
_space_group_IT_number 52
_space_group_name_Hall '-P 2a 2bc'
loop_
_atom_site_label
_atom_site_fract_x
_atom_site_fract_y
_atom_site_fract_z
Pt1 0.250 0.000 0.092
Cl1 0.054 0.250 0.250
F1 0.085 0.201 0.942
# - Formation energy (no corrections): -0.862 eV/atom
# - Crystal system: orthorhombic
# - Relative energy among the computed polymorphs: 0 meV per atom
# - DOS(E_F): 2.03 states/eV/f.u.

***

- Look up the DOS(E_F) of the fourth one.
  2.03 states/eV/f.u.

***

- Which value of DOS(E_F) does entry 4 give?
  2.03 states/eV/f.u.